[1]
Material: Pd7Se2
Method: DFT, PBE
State: optimized geometry

Output
The calculation puts the uncorrected formation energy at -153.1 meV per atom.

CIF file:
```
data_Pd7Se2
_space_group_name_H-M_alt 'P 1 21/c 1'
_space_group_IT_number 14
_cell_length_a 5.622
_cell_length_b 5.430
_cell_length_c 9.573
_cell_angle_alpha 90.00
_cell_angle_beta 93.66
_cell_angle_gamma 90.00
loop_
_space_group_symop_operation_xyz
'x,y,z'
'-x,-y,-z'
'-x,y+1/2,-z+1/2'
'x,-y+1/2,z+1/2'
loop_
_atom_site_label
_atom_site_type_symbol
_atom_site_fract_x
_atom_site_fract_y
_atom_site_fract_z
Pd1 Pd 0.000 0.000 0.000
Pd2 Pd 0.073 0.158 0.292
Pd3 Pd 0.294 0.082 0.573
Pd4 Pd 0.468 0.599 0.649
Se1 Se 0.274 0.728 0.878
```

---

[2]
Material: Sm3Y2Te8
Method: DFT, PBE
State: optimized geometry

Output
The calculation puts the uncorrected formation energy at -1261.1 meV per atom.

CIF file:
```
data_Sm3Y2Te8
_space_group_name_H-M_alt 'C 1 2/m 1'
_space_group_IT_number 12
_cell_length_a 15.455
_cell_length_b 8.813
_cell_length_c 7.594
_cell_angle_alpha 90.00
_cell_angle_beta 108.74
_cell_angle_gamma 90.00
loop_
_space_group_symop_operation_xyz
'x,y,z'
'-x,-y,-z'
'-x,y,-z'
'x,-y,z'
'x+1/2,y+1/2,z'
'-x+1/2,-y+1/2,-z'
'-x+1/2,y+1/2,-z'
'x+1/2,-y+1/2,z'
loop_
_atom_site_label
_atom_site_type_symbol
_atom_site_fract_x
_atom_site_fract_y
_atom_site_fract_z
Sm1 Sm 0.000 0.000 0.000
Sm2 Sm 0.000 0.258 0.500
Y1 Y 0.250 0.000 0.832
Te1 Te 0.119 0.500 0.393
Te2 Te 0.123 0.000 0.419
Te3 Te 0.124 0.248 0.915
```

---

[3]
Material: IrWSCl2
Method: DFT, PBE
State: optimized geometry

Output
The calculation puts the uncorrected formation energy at 1079.9 meV per atom. Its relative energy among the computed polymorphs is 0.000 eV per atom.

CIF file:
```
data_IrWSCl2
_space_group_name_H-M_alt 'P 4/m m m'
_space_group_IT_number 123
_space_group_name_Hall '-P 4 2'
_cell_length_a 4.763
_cell_length_b 4.763
_cell_length_c 4.664
_cell_angle_alpha 90.00
_cell_angle_beta 90.00
_cell_angle_gamma 90.00
loop_
_atom_site_label
_atom_site_type_symbol
_atom_site_fract_x
_atom_site_fract_y
_atom_site_fract_z
Ir1 Ir 0.000 0.000 0.000
W1 W 0.500 0.500 0.500
S1 S 0.500 0.500 0.000
Cl1 Cl 0.000 0.500 0.500
```

---

[4]
Material: Ba2SnTePt
Method: DFT, PBE
State: optimized geometry

Output
The calculation puts the uncorrected formation energy at -918.7 meV per atom.

CIF file:
```
data_Ba2SnTePt
_space_group_name_H-M_alt 'P 4/m m m'
_space_group_IT_number 123
_space_group_name_Hall '-P 4 2'
_cell_length_a 6.267
_cell_length_b 6.267
_cell_length_c 4.992
_cell_angle_alpha 90.00
_cell_angle_beta 90.00
_cell_angle_gamma 90.00
loop_
_atom_site_label
_atom_site_type_symbol
_atom_site_fract_x
_atom_site_fract_y
_atom_site_fract_z
Ba1 Ba 0.000 0.500 0.000
Sn1 Sn 0.000 0.000 0.500
Te1 Te 0.500 0.500 0.500
Pt1 Pt 0.000 0.000 0.000
```

---

[5]
Material: YAlMo2
Method: DFT, PBE
State: optimized geometry

Output
As for the total energy: -7.71 eV per atom.

CIF file:
```
data_YAlMo2
_space_group_name_H-M_alt 'I m m m'
_space_group_IT_number 71
_space_group_name_Hall '-I 2 2'
_cell_length_a 3.566
_cell_length_b 4.471
_cell_length_c 9.325
_cell_angle_alpha 90.00
_cell_angle_beta 90.00
_cell_angle_gamma 90.00
loop_
_atom_site_label
_atom_site_type_symbol
_atom_site_fract_x
_atom_site_fract_y
_atom_site_fract_z
Y1 Y 0.000 0.000 0.000
Al1 Al 0.000 0.000 0.500
Mo1 Mo 0.000 0.500 0.245
```

---

[6]
Material: Y3RuI3
Method: DFT, PBE
State: optimized geometry

Output
The calculation puts the uncorrected formation energy at -992.0 meV per atom.

CIF file:
```
data_Y3RuI3
_space_group_name_H-M_alt 'P 1 21/m 1'
_space_group_IT_number 11
_cell_length_a 8.874
_cell_length_b 4.248
_cell_length_c 12.334
_cell_angle_alpha 90.00
_cell_angle_beta 93.74
_cell_angle_gamma 90.00
loop_
_space_group_symop_operation_xyz
'x,y,z'
'-x,-y,-z'
'-x,y+1/2,-z'
'x,-y+1/2,z'
loop_
_atom_site_label
_atom_site_type_symbol
_atom_site_fract_x
_atom_site_fract_y
_atom_site_fract_z
Y1 Y 0.098 0.250 0.315
Y2 Y 0.135 0.250 0.873
Y3 Y 0.258 0.750 0.103
Ru1 Ru 0.052 0.250 0.092
I1 I 0.142 0.250 0.607
I2 I 0.352 0.750 0.363
I3 I 0.427 0.750 0.867
```

---

[7]
Material: ZrIn2Cl7
Method: DFT, PBE
State: optimized geometry

Output
The calculation puts the uncorrected formation energy at -1250.1 meV per atom.

CIF file:
```
data_ZrIn2Cl7
_space_group_name_H-M_alt 'C 1 2/c 1'
_space_group_IT_number 15
_cell_length_a 16.196
_cell_length_b 10.226
_cell_length_c 11.200
_cell_angle_alpha 90.00
_cell_angle_beta 132.45
_cell_angle_gamma 90.00
loop_
_space_group_symop_operation_xyz
'x,y,z'
'-x,-y,-z'
'-x,y,-z+1/2'
'x,-y,z+1/2'
'x+1/2,y+1/2,z'
'-x+1/2,-y+1/2,-z'
'-x+1/2,y+1/2,-z+1/2'
'x+1/2,-y+1/2,z+1/2'
loop_
_atom_site_label
_atom_site_type_symbol
_atom_site_fract_x
_atom_site_fract_y
_atom_site_fract_z
Zr1 Zr 0.000 0.047 0.250
In1 In 0.198 0.449 0.552
Cl1 Cl 0.000 0.476 0.250
Cl2 Cl 0.084 0.150 0.153
Cl3 Cl 0.130 0.138 0.837
Cl4 Cl 0.175 0.137 0.525
```

---

[8]
Material: EuGdErTm
Method: DFT, PBE
State: optimized geometry

Output
As for the total energy: -8.20 eV per atom.

CIF file:
```
data_EuGdErTm
_space_group_name_H-M_alt 'F -4 3 m'
_space_group_IT_number 216
_space_group_name_Hall 'F -4 2 3'
_cell_length_a 8.068
_cell_length_b 8.068
_cell_length_c 8.068
_cell_angle_alpha 90.00
_cell_angle_beta 90.00
_cell_angle_gamma 90.00
loop_
_atom_site_label
_atom_site_type_symbol
_atom_site_fract_x
_atom_site_fract_y
_atom_site_fract_z
Eu1 Eu 0.000 0.000 0.000
Gd1 Gd 0.000 0.000 0.500
Er1 Er 0.250 0.250 0.250
Tm1 Tm 0.250 0.250 0.750
```